1.
Below is crystalline CuRe2Mo at its relaxed geometry, with properties calculated at the PBE-GGA level.

polymorph energy (0 for the lowest one) = 0.0 meV/atom
symmetry = Pm (6)
formation enthalpy at 0 K = 17 kJ per mole of atoms

Unit cell a=2.7557 b=4.4313 c=4.7730 alpha=90.00 beta=90.65 gamma=90.00
Last column: nearest neighbours and their distance in Å.
Element x y z (fractional)
Cu 0.0000 0.0000 0.0000  4 Mo 2.72, 6 Re 2.72-2.78, 2 Cu 2.76
Re 0.0070 0.5000 0.6693  4 Mo 2.69-2.81, 2 Cu 2.72, 6 Re 2.73-2.76
Re 0.4969 0.0000 0.4957  4 Cu 2.72-2.78, 6 Re 2.73-2.76, 2 Mo 2.74
Mo 0.5030 0.5000 0.1582  6 Re 2.69-2.81, 4 Cu 2.72, 2 Mo 2.76

2.
Below is crystalline K2ZnBiO4 at its relaxed geometry, with properties calculated at the PBE-GGA level.

energy relative to the elements, uncorrected = -1143 meV/atom
symmetry = I-42m (121)

Unit cell a=5.6679 b=5.6679 c=5.6679 alpha=106.20 beta=106.20 gamma=116.24
Last column: nearest neighbours and their distance in Å.
Element x y z (fractional)
K 0.0000 0.5000 0.5000  8 O 2.94-3.02, 2 K 2.99
K 0.5000 0.0000 0.5000  8 O 2.94-3.02, 2 K 2.99
Zn 0.0000 0.0000 0.0000  4 O 2.05
Bi 0.5000 0.5000 0.0000  4 O 2.18
O 0.0807 0.3907 0.0000  1 Zn 2.05, 1 Bi 2.18
O 0.3907 0.0807 0.0000  1 Zn 2.05, 1 Bi 2.18
O 0.6093 0.6093 0.6900  1 Zn 2.05, 1 Bi 2.18
O 0.9193 0.9193 0.3100  1 Zn 2.05, 1 Bi 2.18

3.
Below is crystalline AcCuSnPt at its relaxed geometry, with properties calculated at the PBE-GGA level.

symmetry = F-43m (216)
formation enthalpy at 0 K = -47 kJ per mole of atoms

Unit cell a=5.0607 b=5.0607 c=5.0607 alpha=60.00 beta=60.00 gamma=60.00
Last column: nearest neighbours and their distance in Å.
Element x y z (fractional)
Ac 0.0000 0.0000 0.0000  4 Pt 3.10, 4 Cu 3.10
Cu 0.2500 0.2500 0.2500  4 Sn 3.10, 4 Ac 3.10
Sn 0.5000 0.5000 0.5000  4 Cu 3.10, 4 Pt 3.10
Pt 0.7500 0.7500 0.7500  4 Sn 3.10, 4 Ac 3.10

4.
Below is crystalline Zr5AlCd4 at its relaxed geometry, with properties calculated at the PBE-GGA level.

symmetry = P4/mmm (123)
formation enthalpy at 0 K = -18 kJ per mole of atoms

Unit cell a=3.1233 b=3.1233 c=21.7249 alpha=90.00 beta=90.00 gamma=90.00
Last column: nearest neighbours and their distance in Å.
Element x y z (fractional)
Zr 0.0000 0.0000 0.0000  4 Zr 3.12, 8 Cd 3.13
Zr 0.0000 0.0000 0.2040  8 Cd 3.12-3.13, 4 Zr 3.12
Zr 0.0000 0.0000 0.4090  4 Al 2.96, 4 Zr 3.12, 4 Cd 3.16
Zr 0.0000 0.0000 0.5910  4 Al 2.96, 4 Zr 3.12, 4 Cd 3.16
Zr 0.0000 0.0000 0.7960  8 Cd 3.12-3.13, 4 Zr 3.12
Al 0.5000 0.5000 0.5000  8 Zr 2.96, 4 Al 3.12
Cd 0.5000 0.5000 0.1020  4 Cd 3.12, 8 Zr 3.13
Cd 0.5000 0.5000 0.3052  8 Zr 3.12-3.16, 4 Cd 3.12
Cd 0.5000 0.5000 0.6948  8 Zr 3.12-3.16, 4 Cd 3.12
Cd 0.5000 0.5000 0.8980  4 Cd 3.12, 8 Zr 3.13

5.
Below is crystalline ZrBe2InNi at its relaxed geometry, with properties calculated at the PBE-GGA level.

symmetry = P4/mmm (123)
formation enthalpy at 0 K = 129 kJ per mole of atoms

Unit cell a=4.7534 b=4.7534 c=4.6536 alpha=90.00 beta=90.00 gamma=90.00
Last column: nearest neighbours and their distance in Å.
Element x y z (fractional)
Zr 0.0000 0.0000 0.0000  2 Ni 2.33, 4 Be 2.38
Be 0.0000 0.5000 0.0000  2 Zr 2.38
Be 0.5000 0.0000 0.0000  2 Zr 2.38
In 0.5000 0.5000 0.5000  8 Be 3.33, 4 Ni 3.36
Ni 0.0000 0.0000 0.5000  2 Zr 2.33

6.
Below is crystalline LaAgF3 at its relaxed geometry, with properties calculated at the PBE-GGA level.

polymorph energy (0 for the lowest one) = 0.0 meV/atom
energy relative to the elements, uncorrected = -2802 meV/atom
symmetry = Pm-3m (221)

Unit cell a=4.7166 b=4.7166 c=4.7166 alpha=90.00 beta=90.00 gamma=90.00
Last column: nearest neighbours and their distance in Å.
Element x y z (fractional)
La 0.0000 0.0000 0.0000  6 F 2.36
Ag 0.5000 0.5000 0.5000  12 F 3.34
F 0.0000 0.0000 0.5000  2 La 2.36
F 0.0000 0.5000 0.0000  2 La 2.36
F 0.5000 0.0000 0.0000  2 La 2.36

7.
Below is crystalline InMoOs2 at its relaxed geometry, with properties calculated at the PBE-GGA level.

symmetry = Pmmm (47)
formation enthalpy at 0 K = 34 kJ per mole of atoms

Unit cell a=2.9012 b=3.6930 c=6.0605 alpha=90.00 beta=90.00 gamma=90.00
Last column: nearest neighbours and their distance in Å.
Element x y z (fractional)
In 0.0000 0.0000 0.0000  8 Os 2.86, 2 In 2.90, 2 Mo 3.03
Mo 0.0000 0.0000 0.5000  8 Os 2.73, 2 Mo 2.90, 2 In 3.03
Os 0.5000 0.5000 0.2706  4 Mo 2.73, 3 Os 2.78-2.90, 4 In 2.86
Os 0.5000 0.5000 0.7294  4 Mo 2.73, 3 Os 2.78-2.90, 4 In 2.86

8.
Below is crystalline LiNbSe2N at its relaxed geometry, with properties calculated at the PBE-GGA level.

polymorph energy (0 for the lowest one) = 1013.9 meV/atom
energy relative to the elements, uncorrected = 712 meV/atom
symmetry = P4/mmm (123)

Unit cell a=4.6956 b=4.6956 c=3.4800 alpha=90.00 beta=90.00 gamma=90.00
Last column: nearest neighbours and their distance in Å.
Element x y z (fractional)
Li 0.0000 0.0000 0.0000  2 N 1.74
Nb 0.5000 0.5000 0.5000  8 Se 2.92
Se 0.0000 0.5000 0.0000  2 Li 2.35
Se 0.5000 0.0000 0.0000  2 Li 2.35
N 0.0000 0.0000 0.5000  2 Li 1.74